(1)
A geometry-optimized BeOs2W structure. Source: Alexandria via LeMat-Bulk, functional PBEsol.

Cell lengths 2.938, 2.938, 6.005 Å; angles 90.00, 90.00, 90.00 degrees
Space group P4/mmm (No. 123)
Asymmetric unit:
Be1 0.000 0.000 0.000
Os1 0.500 0.500 0.223
W1 0.000 0.000 0.500

## Properties
formation energy: -77 meV/atom
M_tot: 0.0 μB/f.u.

---

(2)
A geometry-optimized BeOs2W structure. Source: Alexandria via LeMat-Bulk, functional PBEsol.

Cell lengths 2.702, 3.890, 5.133 Å; angles 90.00, 97.18, 90.00 degrees
Space group Pm (No. 6)
Asymmetric unit:
Be1 0.000 0.000 0.000
Os1 0.384 0.500 0.215
Os2 0.951 0.000 0.494
W1 0.488 0.500 0.748

## Properties
formation energy: 115 meV/atom
M_tot: 0.0 μB/f.u.

---

(3)
A geometry-optimized Be2OsW structure. Source: Alexandria via LeMat-Bulk, functional PBEsol.

Cell lengths 3.576, 3.576, 16.784 Å; angles 90.00, 90.00, 90.00 degrees
Space group I-42d (No. 122)
Asymmetric unit:
Be1 0.228 0.250 0.125
Os1 0.000 0.000 0.000
W1 0.000 0.000 0.500

## Properties
formation energy: 648 meV/atom
M_tot: 0.0 μB/f.u.

---

(4)
A geometry-optimized Be2OsW structure. Source: Alexandria via LeMat-Bulk, functional PBEsol.

Cell lengths 8.488, 2.925, 4.299 Å; angles 90.00, 113.62, 90.00 degrees
Space group C2/m (No. 12)
Asymmetric unit:
Be1 0.241 0.000 0.212
Os1 0.000 0.500 0.000
W1 0.000 0.000 0.500

## Properties
formation energy: 188 meV/atom
M_tot: 0.0 μB/f.u.

---

(5)
A geometry-optimized Be2OsW structure. Source: Alexandria via LeMat-Bulk, functional PBEsol.

Cell lengths 3.015, 3.812, 4.207 Å; angles 90.00, 90.00, 90.00 degrees
Space group Pmmm (No. 47)
Asymmetric unit:
Be1 0.000 0.000 0.000
Be2 0.500 0.000 0.500
Os1 0.000 0.500 0.500
W1 0.500 0.500 0.000

## Properties
formation energy: 162 meV/atom
M_tot: 0.0 μB/f.u.

---

(6)
A geometry-optimized YBeOs structure. Source: Alexandria via LeMat-Bulk, functional PBEsol.

Cell lengths 3.9958, 3.9958, 3.6443 Å; angles 90.00, 90.00, 120.00 degrees
Space group P-6m2 (No. 187)
Asymmetric unit:
Y1 0.0000 0.0000 0.0000
Be1 0.3333 0.6667 0.5000
Os1 0.6667 0.3333 0.5000

## Properties
formation energy: -109 meV/atom
M_tot: 0.0 μB/f.u.

---

(7)
A geometry-optimized Y3BeOs structure. Source: Alexandria via LeMat-Bulk, functional PBEsol.

Cell lengths 4.895, 4.895, 4.895 Å; angles 90.00, 90.00, 90.00 degrees
Space group Pm-3m (No. 221)
Asymmetric unit:
Y1 0.000 0.000 0.500
Be1 0.000 0.000 0.000
Os1 0.500 0.500 0.500

## Properties
formation energy: 802 meV/atom
M_tot: 0.0 μB/f.u.

---

(8)
A geometry-optimized Y2BeOs structure. Source: Alexandria via LeMat-Bulk, functional PBEsol.

Cell lengths 3.923, 4.018, 10.422 Å; angles 90.00, 90.00, 90.00 degrees
Space group Amm2 (No. 38)
Asymmetric unit:
Y1 0.000 0.000 0.000
Y2 0.500 0.000 0.280
Be1 0.000 0.000 0.691
Os1 0.500 0.000 0.581

## Properties
formation energy: -172 meV/atom
M_tot: 0.0 μB/f.u.